[1]
A plane-wave DFT calculation with GGA-PBE was carried out for an optimized crystal structure of Sr2CoW.

Output
**Calculated formation energy**: 513 kJ/mol of formula units

Lattice parameters (Å, degrees): 10.267 10.267 10.267 18.10 18.10 18.10
Atoms (fractional coordinates):
Sr (0.243, 0.243, 0.243)
Sr (0.757, 0.757, 0.757)
Co (0.500, 0.500, 0.500)
W (0.000, 0.000, 0.000)



[2]
A plane-wave DFT calculation with GGA-PBE was carried out for an optimized crystal structure of RbCr2H2Se6.

Output
**E**: -0.344 Ry/atom

Lattice parameters (Å, degrees): 6.694 6.943 6.964 99.73 115.37 111.28
Atoms (fractional coordinates):
Rb (0.000, 0.000, 0.000)
Cr (0.357, 0.699, 0.359)
Cr (0.643, 0.301, 0.641)
H (0.033, 0.213, 0.443)
H (0.967, 0.787, 0.557)
Se (0.111, 0.481, 0.897)
Se (0.301, 0.410, 0.564)
Se (0.410, 0.963, 0.677)
Se (0.590, 0.037, 0.323)
Se (0.699, 0.590, 0.436)
Se (0.889, 0.519, 0.103)



[3]
A plane-wave DFT calculation with GGA-PBE was carried out for an optimized crystal structure of Y2ZrAg.

Output
**Calculated formation energy**: 47 kJ/mol of formula units

Lattice parameters (Å, degrees): 5.265 5.265 5.265 60.00 60.00 60.00
Atoms (fractional coordinates):
Y (0.250, 0.250, 0.250)
Y (0.750, 0.750, 0.750)
Zr (0.000, 0.000, 0.000)
Ag (0.500, 0.500, 0.500)



[4]
A plane-wave DFT calculation with GGA-PBE was carried out for an optimized crystal structure of Cd2SnPtBr.

Output
**Formation energy (no corrections)**: -0.31 eV per atom

Lattice parameters (Å, degrees): 5.336 5.336 5.057 90.00 90.00 90.00
Atoms (fractional coordinates):
Cd (0.000, 0.500, 0.000)
Cd (0.500, 0.000, 0.000)
Sn (0.000, 0.000, 0.500)
Pt (0.000, 0.000, 0.000)
Br (0.500, 0.500, 0.500)



[5]
A plane-wave DFT calculation with GGA-PBE was carried out for an optimized crystal structure of RbCaCd2Sb.

Output
**Formation energy (no corrections)**: 0.55 eV per atom

Lattice parameters (Å, degrees): 5.924 5.924 6.449 90.00 90.00 90.00
Atoms (fractional coordinates):
Rb (0.000, 0.000, 0.000)
Ca (0.500, 0.500, 0.500)
Cd (0.000, 0.500, 0.000)
Cd (0.500, 0.000, 0.000)
Sb (0.000, 0.000, 0.500)



[6]
A plane-wave DFT calculation with GGA-PBE was carried out for an optimized crystal structure of TiV5Re6.

Output
**Calculated formation energy**: -432 kJ/mol of formula units

Lattice parameters (Å, degrees): 6.826 6.826 6.100 90.00 90.00 143.11
Atoms (fractional coordinates):
Ti (0.000, 0.000, 0.000)
V (0.000, 0.000, 0.500)
V (0.333, 0.667, 0.000)
V (0.333, 0.667, 0.500)
V (0.667, 0.333, 0.000)
V (0.667, 0.333, 0.500)
Re (0.168, 0.832, 0.252)
Re (0.168, 0.832, 0.748)
Re (0.500, 0.500, 0.253)
Re (0.500, 0.500, 0.747)
Re (0.832, 0.168, 0.252)
Re (0.832, 0.168, 0.748)



[7]
A plane-wave DFT calculation with GGA-PBE was carried out for an optimized crystal structure of KScAl.

Output
**Calculated formation energy**: 195 kJ/mol of formula units

Lattice parameters (Å, degrees): 5.250 5.250 5.250 60.00 60.00 60.00
Atoms (fractional coordinates):
K (0.000, 0.000, 0.000)
Sc (0.500, 0.500, 0.500)
Al (0.250, 0.250, 0.250)



[8]
A plane-wave DFT calculation with GGA-PBE was carried out for an optimized crystal structure of BaCa2SbO.

Output
**Formation energy (no corrections)**: -1.51 eV per atom

Lattice parameters (Å, degrees): 4.915 4.915 5.546 90.00 90.00 90.00
Atoms (fractional coordinates):
Ba (0.000, 0.000, 0.000)
Ca (0.000, 0.500, 0.500)
Ca (0.500, 0.000, 0.500)
Sb (0.500, 0.500, 0.000)
O (0.000, 0.000, 0.500)